Density functional theory data (GGA-PBE) for a relaxed structure of BaMn2Mo.

## Properties
energy relative to the elements	0.7491	eV per atom
DOS(E_F)	4.0	states/eV/f.u.
polymorph energy (0 for the lowest one)	0.194	eV per atom
symmetry	P4mm (99)
uncorrected energy	-28.1	eV per cell

```
4
Lattice="3.262 0.000 0.000 0.000 3.262 0.000 0.000 0.000 7.662" Properties=species:S:1:pos:R:3 pbc="T T T"
Ba 1.631 1.631 5.809
Mn 0.000 0.000 0.849
Mn 1.631 1.631 1.779
Mo 0.000 0.000 3.056
```

Density functional theory data (GGA-PBE) for a relaxed structure of Cr2ReN.

## Properties
DOS(E_F)	2.0	states/eV/f.u.
symmetry	I-42d (122)
uncorrected energy	-77.1	eV per cell

```
8
Lattice="-5.045 0.859 0.906 -0.956 -0.227 -5.103 -3.623 -3.649 -1.805" Properties=species:S:1:pos:R:3 pbc="T T T"
Re 0.000 0.000 0.000
Re -5.834 -1.237 -1.499
N -3.000 0.316 -2.098
N -3.789 -1.780 -4.504
Cr -3.711 -0.483 -0.607
Cr -2.600 -0.868 -3.444
Cr -5.056 -2.521 -3.400
Cr -7.879 -2.163 -4.554
```